[1]
Density functional theory data (GGA-PBEsol) for crystalline Zr3HSe at its relaxed geometry.

- Spin magnetization: 0.00 μB/cell
- Calculated total energy: -36.6 eV per cell
- Fermi-level density of states: 0.78 states/eV per atom

```
data_Zr3HSe
_space_group_name_H-M_alt 'P m -3 m'
_space_group_IT_number 221
_space_group_name_Hall '-P 4 2 3'
_cell_length_a 4.2913
_cell_length_b 4.2913
_cell_length_c 4.2913
_cell_angle_alpha 90.00
_cell_angle_beta 90.00
_cell_angle_gamma 90.00
loop_
_atom_site_label
_atom_site_type_symbol
_atom_site_fract_x
_atom_site_fract_y
_atom_site_fract_z
Zr1 Zr 0.0000 0.0000 0.5000
H1 H 0.0000 0.0000 0.0000
Se1 Se 0.5000 0.5000 0.5000
```

[2]
Density functional theory data (GGA-PBEsol) for crystalline LaAuS3 at its relaxed geometry.

- Spin magnetization: 1.52 μB/cell
- Calculated total energy: -20.9 eV per cell
- Fermi-level density of states: 1.38 states/eV per atom
- ΔE_f (raw): 0.30 eV per atom

```
data_LaAuS3
_space_group_name_H-M_alt 'P m -3 m'
_space_group_IT_number 221
_space_group_name_Hall '-P 4 2 3'
_cell_length_a 5.3824
_cell_length_b 5.3824
_cell_length_c 5.3824
_cell_angle_alpha 90.00
_cell_angle_beta 90.00
_cell_angle_gamma 90.00
loop_
_atom_site_label
_atom_site_type_symbol
_atom_site_fract_x
_atom_site_fract_y
_atom_site_fract_z
La1 La 0.0000 0.0000 0.0000
Au1 Au 0.5000 0.5000 0.5000
S1 S 0.0000 0.0000 0.5000
```

[3]
Density functional theory data (GGA-PBEsol) for crystalline NiMoRh at its relaxed geometry.

- Spin magnetization: 0.00 μB/cell
- Calculated total energy: -53.1 eV per cell
- Fermi-level density of states: 0.76 states/eV per atom
- Offset from the most stable computed form: 0.0 meV per atom
- Calculated formation energy: -167 meV per atom

```
data_NiMoRh
_space_group_name_H-M_alt 'I m m 2'
_space_group_IT_number 44
_space_group_name_Hall 'I 2 -2'
_cell_length_a 2.6682
_cell_length_b 3.6999
_cell_length_c 7.9026
_cell_angle_alpha 90.00
_cell_angle_beta 90.00
_cell_angle_gamma 90.00
loop_
_atom_site_label
_atom_site_type_symbol
_atom_site_fract_x
_atom_site_fract_y
_atom_site_fract_z
Ni1 Ni 0.0000 0.0000 0.0000
Mo1 Mo 0.0000 0.0000 0.3364
Rh1 Rh 0.0000 0.0000 0.6644
```

[4]
Density functional theory data (GGA-PBEsol) for crystalline Ba2ZnAu2 at its relaxed geometry.

- Spin magnetization: 0.00 μB/cell
- Calculated total energy: -31.9 eV per cell
- Fermi-level density of states: 0.64 states/eV per atom
- Calculated formation energy: -442 meV per atom

```
data_Ba2ZnAu2
_space_group_name_H-M_alt 'P 4/m b m'
_space_group_IT_number 127
_space_group_name_Hall '-P 4 2ab'
_cell_length_a 8.1041
_cell_length_b 8.1041
_cell_length_c 4.4562
_cell_angle_alpha 90.00
_cell_angle_beta 90.00
_cell_angle_gamma 90.00
loop_
_atom_site_label
_atom_site_type_symbol
_atom_site_fract_x
_atom_site_fract_y
_atom_site_fract_z
Ba1 Ba 0.1774 0.3226 0.0000
Zn1 Zn 0.0000 0.0000 0.5000
Au1 Au 0.1247 0.6247 0.5000
```

[5]
Density functional theory data (GGA-PBEsol) for crystalline Ta2FeRe at its relaxed geometry.

- Spin magnetization: 3.27 μB/cell
- Calculated total energy: -95.1 eV per cell
- Fermi-level density of states: 0.65 states/eV per atom
- Calculated formation energy: -33 meV per atom

```
data_Ta2FeRe
_space_group_name_H-M_alt 'C 1 2/m 1'
_space_group_IT_number 12
_space_group_name_Hall '-C 2y'
_cell_length_a 5.4971
_cell_length_b 8.6018
_cell_length_c 2.7231
_cell_angle_alpha 90.00
_cell_angle_beta 109.21
_cell_angle_gamma 90.00
loop_
_atom_site_label
_atom_site_type_symbol
_atom_site_fract_x
_atom_site_fract_y
_atom_site_fract_z
Ta1 Ta 0.2500 0.2500 0.0000
Fe1 Fe 0.0000 0.0000 0.5000
Re1 Re 0.0000 0.5000 0.5000
```

[6]
Density functional theory data (GGA-PBEsol) for crystalline Ga2BiPb2 at its relaxed geometry.

- Spin magnetization: 0.00 μB/cell
- Calculated total energy: -37.3 eV per cell
- Fermi-level density of states: 0.41 states/eV per atom
- Offset from the most stable computed form: 0.0 meV per atom
- Calculated formation energy: 62 meV per atom

```
data_Ga2BiPb2
_space_group_name_H-M_alt 'P 4/m b m'
_space_group_IT_number 127
_space_group_name_Hall '-P 4 2ab'
_cell_length_a 7.7165
_cell_length_b 7.7165
_cell_length_c 4.3366
_cell_angle_alpha 90.00
_cell_angle_beta 90.00
_cell_angle_gamma 90.00
loop_
_atom_site_label
_atom_site_type_symbol
_atom_site_fract_x
_atom_site_fract_y
_atom_site_fract_z
Ga1 Ga 0.1217 0.3783 0.0000
Bi1 Bi 0.0000 0.0000 0.0000
Pb1 Pb 0.1804 0.6804 0.5000
```

[7]
Density functional theory data (GGA-PBEsol) for crystalline HfTi2Al2 at its relaxed geometry.

- Spin magnetization: 0.00 μB/cell
- Calculated total energy: -73.6 eV per cell
- Fermi-level density of states: 1.03 states/eV per atom
- Calculated formation energy: -299 meV per atom

```
data_HfTi2Al2
_space_group_name_H-M_alt 'P 4/m b m'
_space_group_IT_number 127
_space_group_name_Hall '-P 4 2ab'
_cell_length_a 7.3655
_cell_length_b 7.3655
_cell_length_c 3.1664
_cell_angle_alpha 90.00
_cell_angle_beta 90.00
_cell_angle_gamma 90.00
loop_
_atom_site_label
_atom_site_type_symbol
_atom_site_fract_x
_atom_site_fract_y
_atom_site_fract_z
Hf1 Hf 0.0000 0.0000 0.0000
Ti1 Ti 0.1759 0.3241 0.5000
Al1 Al 0.1223 0.6223 0.0000
```

[8]
Density functional theory data (GGA-PBEsol) for crystalline P2IrAu at its relaxed geometry.

- Spin magnetization: 0.00 μB/cell
- Calculated total energy: -25.2 eV per cell
- Fermi-level density of states: 0.43 states/eV per atom
- Offset from the most stable computed form: 0.0 meV per atom
- Calculated formation energy: 30 meV per atom

```
data_P2IrAu
_space_group_name_H-M_alt 'P 1 m 1'
_space_group_IT_number 6
_space_group_name_Hall 'P -2y'
_cell_length_a 4.2392
_cell_length_b 3.1785
_cell_length_c 4.8721
_cell_angle_alpha 90.00
_cell_angle_beta 114.82
_cell_angle_gamma 90.00
loop_
_atom_site_label
_atom_site_type_symbol
_atom_site_fract_x
_atom_site_fract_y
_atom_site_fract_z
P1 P 0.0000 0.0000 0.0000
P2 P 0.4234 0.5000 0.1363
Ir1 Ir 0.5615 0.5000 0.7047
Au1 Au 0.9612 0.0000 0.4712
```

[9]
Density functional theory data (GGA-PBEsol) for crystalline CaTeCO5 at its relaxed geometry.

- Spin magnetization: 0.00 μB/cell
- Calculated total energy: -449.6 eV per cell
- Fermi-level density of states: 0.00 states/eV per atom
- ΔE_f (raw): -1.83 eV per atom

```
data_CaTeCO5
_space_group_name_H-M_alt 'P b c a'
_space_group_IT_number 61
_space_group_name_Hall '-P 2ac 2ab'
_cell_length_a 6.9063
_cell_length_b 11.0541
_cell_length_c 10.6048
_cell_angle_alpha 90.00
_cell_angle_beta 90.00
_cell_angle_gamma 90.00
loop_
_atom_site_label
_atom_site_type_symbol
_atom_site_fract_x
_atom_site_fract_y
_atom_site_fract_z
Ca1 Ca 0.0186 0.1711 0.0099
Te1 Te 0.0912 0.5181 0.8655
C1 C 0.2361 0.2407 0.2436
O1 O 0.0227 0.6102 0.0270
O2 O 0.1428 0.1402 0.2242
O3 O 0.1540 0.5028 0.4170
O4 O 0.2171 0.7283 0.8582
O5 O 0.2268 0.6907 0.6499
```

[10]
Density functional theory data (GGA-PBEsol) for crystalline TlCu3S2 at its relaxed geometry.

- Spin magnetization: 0.00 μB/cell
- Calculated total energy: -103.1 eV per cell
- ΔE_f (raw): -0.23 eV per atom

```
data_TlCu3S2
_space_group_name_H-M_alt 'C 1 2/m 1'
_space_group_IT_number 12
_space_group_name_Hall '-C 2y'
_cell_length_a 14.2556
_cell_length_b 3.7541
_cell_length_c 8.2174
_cell_angle_alpha 90.00
_cell_angle_beta 111.23
_cell_angle_gamma 90.00
loop_
_atom_site_label
_atom_site_type_symbol
_atom_site_fract_x
_atom_site_fract_y
_atom_site_fract_z
Tl1 Tl 0.1411 0.0000 0.0491
Cu1 Cu 0.0569 0.0000 0.4018
Cu2 Cu 0.0881 0.5000 0.6394
Cu3 Cu 0.1867 0.5000 0.4263
S1 S 0.0238 0.5000 0.2253
S2 S 0.1877 0.0000 0.6715
```

[11]
Density functional theory data (GGA-PBEsol) for crystalline LiCa2La at its relaxed geometry.

- Spin magnetization: 0.00 μB/cell
- Calculated total energy: -21.5 eV per cell
- Fermi-level density of states: 1.34 states/eV per atom
- Offset from the most stable computed form: 125.5 meV per atom
- Calculated formation energy: 210 meV per atom

```
data_LiCa2La
_space_group_name_H-M_alt 'I 4/m m m'
_space_group_IT_number 139
_space_group_name_Hall '-I 4 2'
_cell_length_a 4.9868
_cell_length_b 4.9868
_cell_length_c 11.1992
_cell_angle_alpha 90.00
_cell_angle_beta 90.00
_cell_angle_gamma 90.00
loop_
_atom_site_label
_atom_site_type_symbol
_atom_site_fract_x
_atom_site_fract_y
_atom_site_fract_z
Li1 Li 0.0000 0.0000 0.0000
Ca1 Ca 0.0000 0.5000 0.2500
La1 La 0.0000 0.0000 0.5000
```

[12]
Density functional theory data (GGA-PBEsol) for crystalline Ca11Bi10 at its relaxed geometry.

- Spin magnetization: 0.00 μB/cell
- Calculated total energy: -337.0 eV per cell
- Fermi-level density of states: 0.32 states/eV per atom
- Calculated formation energy: -854 meV per atom

```
data_Ca11Bi10
_space_group_name_H-M_alt 'I 4/m m m'
_space_group_IT_number 139
_space_group_name_Hall '-I 4 2'
_cell_length_a 12.1752
_cell_length_b 12.1752
_cell_length_c 17.5808
_cell_angle_alpha 90.00
_cell_angle_beta 90.00
_cell_angle_gamma 90.00
loop_
_atom_site_label
_atom_site_type_symbol
_atom_site_fract_x
_atom_site_fract_y
_atom_site_fract_z
Ca1 Ca 0.0000 0.0000 0.1645
Ca2 Ca 0.0000 0.2508 0.3102
Ca3 Ca 0.0000 0.3409 0.1034
Ca4 Ca 0.1620 0.1620 0.5000
Bi1 Bi 0.0000 0.0000 0.3732
Bi2 Bi 0.0000 0.3483 0.5000
Bi3 Bi 0.0000 0.5000 0.2500
Bi4 Bi 0.1315 0.1315 0.0000
Bi5 Bi 0.2047 0.2047 0.1727
```